Here is a crystal of Mg2ZrAl relaxed with PBEsol from the Alexandria database. Energies are from SCAN.

Computed properties:
For the density of states at the Fermi level, the calculation gives 1.71 states/eV/cell. The total energy comes out at -49.23 eV per formula unit.

Lattice parameters (Å, degrees): 4.175 4.175 4.504 90.00 90.00 90.00
Fractional positions:
Mg: 0.500 0.000 0.000
Mg: 0.000 0.500 0.000
Al: 0.000 0.000 0.500
Zr: 0.500 0.500 0.500

---

Here is a crystal of La3Y relaxed with PBEsol from the Alexandria database. Energies are from SCAN.

Computed properties:
For the density of states at the Fermi level, the calculation gives 12.11 states/eV/cell. The total energy comes out at -157.02 eV per formula unit.

Lattice parameters (Å, degrees): 5.851 6.314 7.298 90.00 90.00 90.00
Fractional positions:
La: 0.500 0.834 0.752
La: 0.000 0.166 0.748
La: 0.000 0.166 0.252
La: 0.500 0.834 0.248
La: 0.500 0.331 0.000
La: 0.000 0.669 0.500
Y: 0.000 0.664 0.000
Y: 0.500 0.336 0.500

---

Here is a crystal of Sr3Li4La5O12 relaxed with PBEsol from the Alexandria database. Energies are from SCAN.

Computed properties:
For the density of states at the Fermi level, the calculation gives 3.39 states/eV/cell. The raw formation energy is -3.07 eV per atom. The total energy comes out at -440.37 eV per formula unit.

Lattice parameters (Å, degrees): 3.530 6.856 13.386 90.02 90.00 90.00
Site moments in Bohr magnetons follow the coordinates.
Fractional positions:
La: 0.500 0.242 0.043  0.14
La: 0.500 0.742 0.458  -0.01
La: 0.000 0.759 0.956  0.03
La: 0.000 0.913 0.217  0.09
La: 0.000 0.258 0.545  0.00
O: 0.500 0.373 0.435  0.00
O: 0.500 0.008 0.593  0.00
O: 0.500 0.172 0.226  0.00
O: 0.000 0.992 0.396  0.00
O: 0.000 0.817 0.777  0.00
O: 0.500 0.872 0.073  0.00
O: 0.000 0.500 0.100  0.00
O: 0.000 0.128 0.932  0.01
O: 0.000 0.318 0.720  0.00
O: 0.000 0.630 0.565  0.00
O: 0.500 0.508 0.904  0.00
O: 0.500 0.688 0.277  0.00
Sr: 0.500 0.586 0.719  0.00
Sr: 0.000 0.412 0.282  0.00
Sr: 0.500 0.085 0.783  0.01
Li: 0.500 0.618 0.132  0.00
Li: 0.000 0.376 0.865  0.00
Li: 0.000 0.876 0.635  0.00
Li: 0.500 0.125 0.369  0.00

---

Question: The lowest density of states at the Fermi level belongs to which entry?
Answer: Mg2ZrAl